Compound: BaMg6Ti
Source: Alexandria via LeMat-Bulk
Functional: PBE-GGA
Structure: optimized geometry

Total magnetic moment: 0.282 μB/atom

a = 7.030 Å, b = 7.030 Å, c = 4.282 Å
α = 90.00°, β = 90.00°, γ = 90.00°
Space group P4/mmm (No. 123)
Symmetry-distinct sites (fractional):
Ba: 0.000 0.000 0.000 (multiplicity 1)
Mg: 0.000 0.500 0.000 (multiplicity 2)
Mg: 0.285 0.285 0.500 (multiplicity 4)
Ti: 0.500 0.500 0.000 (multiplicity 1)

=====

Compound: BaMg14Ti
Source: Alexandria via LeMat-Bulk
Functional: PBE-GGA
Structure: optimized geometry

Total magnetic moment: 0.068 μB/atom

a = 6.6092 Å, b = 6.6092 Å, c = 10.4154 Å
α = 90.00°, β = 90.00°, γ = 120.00°
Space group P-6m2 (No. 187)
Symmetry-distinct sites (fractional):
Ba: 0.0000 0.0000 0.0000 (multiplicity 1)
Mg: 0.0172 0.5086 0.0000 (multiplicity 3)
Mg: 0.1684 0.3369 0.2697 (multiplicity 6)
Mg: 0.5027 0.0054 0.5000 (multiplicity 3)
Mg: 0.6667 0.3333 0.2405 (multiplicity 2)
Ti: 0.0000 0.0000 0.5000 (multiplicity 1)

=====

Compound: BaMg2Ti
Source: Alexandria via LeMat-Bulk
Functional: PBE-GGA
Structure: optimized geometry

Total magnetic moment: 0.508 μB/atom

a = 7.755 Å, b = 7.755 Å, c = 7.755 Å
α = 90.00°, β = 90.00°, γ = 90.00°
Space group Fm-3m (No. 225)
Symmetry-distinct sites (fractional):
Ba: 0.000 0.000 0.000 (multiplicity 4)
Mg: 0.250 0.250 0.250 (multiplicity 8)
Ti: 0.000 0.000 0.500 (multiplicity 4)

=====

Compound: BaMg3Ti
Source: Alexandria via LeMat-Bulk
Functional: PBE-GGA
Structure: optimized geometry

Total magnetic moment: 0.801 μB/atom

a = 5.539 Å, b = 5.539 Å, c = 5.539 Å
α = 90.00°, β = 90.00°, γ = 90.00°
Space group Pm-3m (No. 221)
Symmetry-distinct sites (fractional):
Ba: 0.000 0.000 0.000 (multiplicity 1)
Mg: 0.000 0.500 0.500 (multiplicity 3)
Ti: 0.500 0.500 0.500 (multiplicity 1)

=====

Compound: BaMg2Ti
Source: Alexandria via LeMat-Bulk
Functional: PBE-GGA
Structure: optimized geometry

Total magnetic moment: 0.757 μB/atom

a = 5.187 Å, b = 5.187 Å, c = 21.351 Å
α = 90.00°, β = 90.00°, γ = 90.00°
Space group I-42d (No. 122)
Symmetry-distinct sites (fractional):
Ba: 0.000 0.000 0.000 (multiplicity 4)
Mg: 0.114 0.250 0.625 (multiplicity 8)
Ti: 0.000 0.000 0.500 (multiplicity 4)

=====

Compound: BaMg6Ti
Source: Alexandria via LeMat-Bulk
Functional: PBE-GGA
Structure: optimized geometry

Total magnetic moment: 0.169 μB/atom

a = 6.7072 Å, b = 6.7072 Å, c = 5.2708 Å
α = 90.00°, β = 90.00°, γ = 120.00°
Space group P-6m2 (No. 187)
Symmetry-distinct sites (fractional):
Ba: 0.0000 0.0000 0.0000 (multiplicity 1)
Mg: 0.1777 0.3553 0.5000 (multiplicity 3)
Mg: 0.5119 0.0238 0.0000 (multiplicity 3)
Ti: 0.6667 0.3333 0.5000 (multiplicity 1)

=====

Compound: BaMgTi
Source: Alexandria via LeMat-Bulk
Functional: PBE-GGA
Structure: optimized geometry

Total magnetic moment: 0.348 μB/atom

a = 3.623 Å, b = 3.623 Å, c = 13.930 Å
α = 90.00°, β = 90.00°, γ = 90.00°
Space group P4mm (No. 99)
Symmetry-distinct sites (fractional):
Ba: 0.000 0.000 0.000 (multiplicity 1)
Ba: 0.000 0.000 0.400 (multiplicity 1)
Mg: 0.500 0.500 0.199 (multiplicity 1)
Mg: 0.500 0.500 0.797 (multiplicity 1)
Ti: 0.000 0.000 0.670 (multiplicity 1)
Ti: 0.500 0.500 0.587 (multiplicity 1)

=====

Compound: BaMgTi
Source: Alexandria via LeMat-Bulk
Functional: PBE-GGA
Structure: optimized geometry

Total magnetic moment: 1.004 μB/atom

a = 5.5567 Å, b = 5.5567 Å, c = 7.0372 Å
α = 90.00°, β = 90.00°, γ = 120.00°
Space group P6_3/mmc (No. 194)
Symmetry-distinct sites (fractional):
Ba: 0.0000 0.0000 0.0000 (multiplicity 2)
Mg: 0.3333 0.6667 0.2500 (multiplicity 2)
Ti: 0.3333 0.6667 0.7500 (multiplicity 2)

=====

These records have DOS at the Fermi energy values of 7.93; 8.40; 5.30; 3.90; 6.85; 5.93; 3.53; 4.63 states/eV/f.u., in the order they appear.
These records have E_form values of 3.46; 2.73; 9.56; 10.41; 15.47; 4.38; 6.98; 14.87 kcal/mol of atoms, in the order they appear.